[1]
VASP calculation (PBEsol) on Be2CdOsPb after structural relaxation.

Values from the calculation:
Magnetization, μB per formula unit: 0.98
ΔH_f (0 K), eV/atom: 1.739
Final energy, eV/atom: -3.34

```
data_Be2CdOsPb
_symmetry_space_group_name_H-M 'P 4/m m m'
_symmetry_Int_Tables_number 123
_symmetry_space_group_name_Hall '-P 4 2'
_cell_length_a 4.404
_cell_length_b 4.404
_cell_length_c 5.214
_cell_angle_alpha 90.00
_cell_angle_beta 90.00
_cell_angle_gamma 90.00
loop_
_atom_site_label
_atom_site_type_symbol
_atom_site_fract_x
_atom_site_fract_y
_atom_site_fract_z
Be1 Be 0.000 0.500 0.000
Cd1 Cd 0.000 0.000 0.500
Os1 Os 0.500 0.500 0.500
Pb1 Pb 0.500 0.500 0.000
```


[2]
VASP calculation (PBEsol) on BeCd2P after structural relaxation.

Values from the calculation:
Magnetization, μB per formula unit: 0.00
ΔH_f (0 K), eV/atom: 0.018
Final energy, eV/atom: -3.03

```
data_BeCd2P
_symmetry_space_group_name_H-M 'R 3 m'
_symmetry_Int_Tables_number 160
_symmetry_space_group_name_Hall 'R 3 -2"'
_cell_length_a 3.6033
_cell_length_b 3.6033
_cell_length_c 19.0753
_cell_angle_alpha 90.00
_cell_angle_beta 90.00
_cell_angle_gamma 120.00
loop_
_atom_site_label
_atom_site_type_symbol
_atom_site_fract_x
_atom_site_fract_y
_atom_site_fract_z
Be1 Be 0.0000 0.0000 0.0000
Cd1 Cd 0.0000 0.0000 0.5467
Cd2 Cd 0.0000 0.0000 0.7720
P1 P 0.0000 0.0000 0.3219
```


[3]
VASP calculation (PBEsol) on BeCd3P after structural relaxation.

Values from the calculation:
Magnetization, μB per formula unit: 0.00
ΔH_f (0 K), eV/atom: 0.858
Final energy, eV/atom: -1.82

```
data_BeCd3P
_symmetry_space_group_name_H-M 'P m -3 m'
_symmetry_Int_Tables_number 221
_symmetry_space_group_name_Hall '-P 4 2 3'
_cell_length_a 5.014
_cell_length_b 5.014
_cell_length_c 5.014
_cell_angle_alpha 90.00
_cell_angle_beta 90.00
_cell_angle_gamma 90.00
loop_
_atom_site_label
_atom_site_type_symbol
_atom_site_fract_x
_atom_site_fract_y
_atom_site_fract_z
Be1 Be 0.000 0.000 0.000
Cd1 Cd 0.000 0.500 0.500
P1 P 0.500 0.500 0.500
```